# 1
Material: BPd3Rh
Method: DFT, GGA-PBE
State: optimized geometry

Calculated values
* E: -3.966 eV per atom
* magnetization: 1.536 μB/f.u.
* space-group type: Pm-3m, No. 221
* formation energy: 1.955 eV per atom
* energy above the lowest structure with this stoichiometry: 1.805 eV per atom

Cell lengths 4.8127, 4.8127, 4.8127 Å; angles 90.00, 90.00, 90.00 degrees
Fractional positions:
B (0.5000, 0.5000, 0.5000)
Rh (0.0000, 0.0000, 0.0000)
Pd (0.0000, 0.0000, 0.5000)
Pd (0.5000, 0.0000, 0.0000)
Pd (0.0000, 0.5000, 0.0000)

# 2
Material: PrAl2InPd4
Method: DFT, GGA-PBE
State: optimized geometry

Calculated values
* E: -5.179 eV per atom
* magnetization: 0.000 μB/f.u.
* space-group type: R-3m, No. 166
* formation energy: -0.707 eV per atom

Cell lengths 4.3449, 4.3449, 9.5612 Å; angles 76.87, 76.87, 60.00 degrees
Fractional positions:
In (0.5000, 0.5000, 0.5000)
Al (0.7560, 0.7560, 0.7319)
Al (0.2440, 0.2440, 0.2681)
Pd (0.4009, 0.4009, 0.7973)
Pd (0.1229, 0.1229, 0.6314)
Pd (0.8771, 0.8771, 0.3686)
Pd (0.5991, 0.5991, 0.2027)
Pr (0.0000, 0.0000, 0.0000)

# 3
Material: Na2TcPtF
Method: DFT, GGA-PBE
State: optimized geometry

Calculated values
* E: -4.339 eV per atom
* E_form (uncorrected): -15.03 kJ/mol of atoms
* magnetization: 3.445 μB/f.u.
* space-group type: P4/mmm, No. 123

Cell lengths 3.9830, 6.0356, 3.9830 Å; angles 90.00, 90.00, 90.00 degrees
Fractional positions:
Na (0.0000, 0.0000, 0.5000)
Na (0.5000, 0.0000, 0.0000)
Pt (0.0000, 0.5000, 0.0000)
F (0.0000, 0.0000, 0.0000)
Tc (0.5000, 0.5000, 0.5000)

# 4
Material: LaMg2H7Pd
Method: DFT, GGA-PBE
State: optimized geometry

Calculated values
* E: -3.740 eV per atom
* magnetization: 0.000 μB/f.u.
* space-group type: P2_12_12_1, No. 19

Cell lengths 4.7108, 8.0729, 11.7029 Å; angles 90.00, 90.00, 90.00 degrees
Fractional positions:
H (0.9185, 0.3351, 0.4405)
H (0.3978, 0.4893, 0.5137)
H (0.9735, 0.5921, 0.6311)
H (0.4735, 0.9079, 0.3689)
H (0.2484, 0.2888, 0.7355)
H (0.4624, 0.8312, 0.6138)
H (0.0815, 0.8351, 0.0595)
H (0.2516, 0.7112, 0.2355)
H (0.9812, 0.5299, 0.7959)
H (0.7484, 0.2112, 0.2645)
H (0.2698, 0.7851, 0.7839)
H (0.2302, 0.2149, 0.2839)
H (0.7516, 0.7888, 0.7645)
H (0.0188, 0.0299, 0.7041)
H (0.5376, 0.3312, 0.8862)
H (0.6022, 0.9893, 0.9863)
H (0.7698, 0.7149, 0.2161)
H (0.9624, 0.6688, 0.3862)
H (0.0265, 0.0921, 0.8689)
H (0.1022, 0.5107, 0.0137)
H (0.5815, 0.6649, 0.9405)
H (0.5188, 0.4701, 0.2959)
H (0.4185, 0.1649, 0.5595)
H (0.8978, 0.0107, 0.4863)
H (0.0376, 0.1688, 0.1138)
H (0.7302, 0.2851, 0.7161)
H (0.5265, 0.4079, 0.1311)
H (0.4812, 0.9701, 0.2041)
Mg (0.0100, 0.8364, 0.6071)
Mg (0.4900, 0.1636, 0.1071)
Mg (0.5040, 0.2800, 0.4000)
Mg (0.0040, 0.2200, 0.6000)
Mg (0.4960, 0.7800, 0.1000)
Mg (0.5100, 0.6636, 0.3929)
Mg (0.9900, 0.3364, 0.8929)
Mg (0.9960, 0.7200, 0.9000)
Pd (0.5312, 0.9765, 0.5067)
Pd (0.4688, 0.4765, 0.9933)
Pd (0.9688, 0.0235, 0.0067)
Pd (0.0312, 0.5235, 0.4933)
La (0.9987, 0.9525, 0.2829)
La (0.5013, 0.0475, 0.7829)
La (0.0013, 0.4525, 0.2171)
La (0.4987, 0.5475, 0.7171)